Entry from Alexandria: Re2TcAu after structural relaxation (GGA-PBE).

Calculated values
Its space group is I4/mmm (139).

Lattice parameters (Å, degrees): 4.8470 4.8470 4.8470 132.23 132.25 69.85
Positions (direct):
1 Re 0.0000 0.0000 0.0000
2 Re 0.5000 0.5000 0.0000
3 Tc 0.7500 0.2500 0.5000
4 Au 0.2500 0.7500 0.5000


Entry from Alexandria: ReTc4Au after structural relaxation (GGA-PBE).

Calculated values
Its space group is F-43m (216).

Lattice parameters (Å, degrees): 5.0968 5.0968 5.0968 60.00 60.00 60.00
Positions (direct):
1 Tc 0.8723 0.3759 0.3759
2 Tc 0.3759 0.3759 0.3759
3 Tc 0.3759 0.3759 0.8723
4 Tc 0.3759 0.8723 0.3759
5 Re 0.0000 0.0000 0.0000
6 Au 0.7500 0.7500 0.7500


Entry from Alexandria: ReTc2Au after structural relaxation (GGA-PBE).

Calculated values
Its space group is Cmmm (65).

Lattice parameters (Å, degrees): 4.7796 4.7796 2.8272 90.00 90.00 108.92
Positions (direct):
1 Tc 0.5000 0.5000 0.0000
2 Tc 0.0000 0.0000 0.0000
3 Re 0.0000 0.5000 0.5000
4 Au 0.5000 0.0000 0.5000


Entry from Alexandria: Re2TcAu after structural relaxation (GGA-PBE).

Calculated values
Its space group is Cm (8).

Lattice parameters (Å, degrees): 4.8620 4.8620 4.8275 79.61 79.61 33.70
Positions (direct):
1 Au 0.7497 0.7497 0.7491
2 Re 0.2493 0.2493 0.2502
3 Re 0.9917 0.9917 0.0271
4 Tc 0.5093 0.5093 0.4735


Number 1: DFT formation energy 0.35 eV per atom. Number 2: DFT formation energy 0.42 eV per atom. Number 3: DFT formation energy 0.29 eV per atom. Number 4: DFT formation energy 0.29 eV per atom.